# BaZrCl2

BaZrCl2 after structural relaxation (GGA-PBE, the Alexandria database).

a = 9.2095 Å, b = 9.2095 Å, c = 9.2095 Å
α = 22.22°, β = 22.22°, γ = 22.22°
Last column: nearest neighbours and their distance in Å.
Sites, in units of the cell vectors:
Ba 0.7500 0.7500 0.7500  6 Cl 3.32, 6 Ba 3.55
Zr 0.2500 0.2500 0.2500  6 Cl 2.78
Cl 0.9863 0.9863 0.9863  3 Zr 2.78
Cl 0.5137 0.5137 0.5137  3 Zr 2.78

Properties
E_tot, eV per atom: -4.49
Space group: R-3m, No. 166
Magnetization, μB/f.u.: 0.36
E_form (uncorrected), meV per atom: -953
D(E_F), states/eV/f.u.: 2.6

=====

# AcTlGePb

AcTlGePb after structural relaxation (GGA-PBE, the Alexandria database).

a = 5.5449 Å, b = 5.5449 Å, c = 5.5449 Å
α = 60.00°, β = 60.00°, γ = 60.00°
Last column: nearest neighbours and their distance in Å.
Sites, in units of the cell vectors:
Pb 0.2500 0.2500 0.2500  4 Ge 3.40, 4 Tl 3.40
Ac 0.7500 0.7500 0.7500  4 Ge 3.40, 4 Tl 3.40
Ge 0.5000 0.5000 0.5000  4 Pb 3.40, 4 Ac 3.40
Tl 0.0000 0.0000 0.0000  4 Ac 3.40, 4 Pb 3.40

Properties
E_tot, eV per atom: -3.89
Formation energy from the elements, meV per atom: -191
Space group: F-43m, No. 216
Magnetization, μB/f.u.: 0.00
D(E_F), states/eV/f.u.: 2.8